1.
A relaxed structure of InPtW2, computed with PBEsol.

The structure in POSCAR format:
```
InPtW2
1.0
-3.373 1.829 0.149
-1.646 -3.153 1.446
0.935 1.390 4.095
W In Pt
2 1 1
direct
0.500 0.000 0.000
0.000 0.500 0.000
0.500 0.500 0.500
0.000 0.000 0.500
```

Results
- formation enthalpy at 0 K (eV per formula unit) = 0.8
- SG = P4/mmm
- D(E_F) (states/eV per atom) = 0.38
- V (Å³/cell) = 65.2


2.
A relaxed structure of In2PtW, computed with PBEsol.

The structure in POSCAR format:
```
In2PtW
1.0
3.560 0.000 0.000
0.000 4.423 0.000
0.000 0.000 4.423
Pt In W
1 2 1
direct
0.500 0.500 0.500
0.000 0.500 0.000
0.000 0.000 0.500
0.500 0.000 0.000
```

Results
- formation enthalpy at 0 K (eV per formula unit) = 0.8
- energy above the most stable polymorph in this dataset (eV/atom) = 0.115
- SG = P4/mmm
- D(E_F) (states/eV per atom) = 0.42
- V (Å³/cell) = 69.6


3.
A relaxed structure of InPtW2, computed with PBEsol.

The structure in POSCAR format:
```
InPtW2
1.0
-1.581 -1.791 -1.728
-1.448 -2.342 3.754
-2.649 4.309 0.471
W In Pt
2 1 1
direct
0.255 0.259 0.511
0.745 0.741 0.489
0.500 0.000 0.000
0.000 0.500 0.000
```

Results
- formation enthalpy at 0 K (eV per formula unit) = 0.7
- SG = C2/m
- D(E_F) (states/eV per atom) = 0.57
- V (Å³/cell) = 65.4